1.
This record from the Alexandria database describes a relaxed structure of Na2GeF. The functional is PBE-GGA.

```
Na2GeF
1.0
-5.4305 2.5291 -2.7480
-1.7544 -6.0086 -2.0630
-5.6259 -2.3371 1.0634
Na Ge F
4 2 2
direct
0.5148 0.1250 0.2500
0.2352 0.6250 0.2500
0.3750 0.4852 0.7500
0.8750 0.7648 0.7500
0.0000 0.0000 0.0000
0.7500 0.2500 0.5000
0.5000 0.5000 0.0000
0.2500 0.7500 0.5000
```

- calculated total energy (eV/atom) = -3.316
- distance to the lowest polymorph of the same formula (eV per atom) = 0.000
- total moment (μB per cell) = 0.00
- space group = I-42d

=====

2.
This record from the Alexandria database describes a relaxed structure of NaGe3F. The functional is PBE-GGA.

```
NaGe3F
1.0
-1.7550 -1.9431 -3.9068
1.5441 -4.2151 1.4028
-4.0811 -0.7592 2.2108
Na Ge F
1 3 1
direct
0.5000 0.5000 0.5000
0.0000 0.5000 0.0000
0.0000 0.0000 0.5000
0.5000 0.0000 0.0000
0.0000 0.0000 0.0000
```

- calculated total energy (eV/atom) = -3.496
- distance to the lowest polymorph of the same formula (eV per atom) = 0.000
- total moment (μB per cell) = 0.00
- space group = Pm-3m